PBE PrTmNi4, optimized geometry; distance to the lowest polymorph of the same formula = 0.0 kJ per mole of atoms; ΔE_f = -0.382 eV/atom; space group = No. 216; calculated volume = 15.5 A^3/atom; total DFT energy (no corrections) = -33.81 eV/cell
1.0
0.000 3.594 3.594
3.594 0.000 3.594
3.594 3.594 0.000
Pr Tm Ni
1 1 4
direct
0.000 0.000 0.000
0.250 0.250 0.250
0.129 0.624 0.624
0.624 0.129 0.624
0.624 0.624 0.129
0.624 0.624 0.624